[1]
Computed, not measured: a relaxed LiTa3Mn crystal at the GGA-PBEsol level of DFT.

## Properties
Total magnetization, Bohr magnetons per cell: 2.98
Density of states at the Fermi level, states/eV per atom: 1.07
Calculated formation energy, meV/atom: 1328

Cell: 4.3296 4.3296 4.3296 Å, 90.00 90.00 90.00°
Space group Pm-3m (No. 221)
Symmetry-distinct sites (fractional):
Li 0.0000 0.0000 0.0000
Ta 0.0000 0.0000 0.5000
Mn 0.5000 0.5000 0.5000

[2]
Computed, not measured: a relaxed Li2TaMn crystal at the GGA-PBEsol level of DFT.

## Properties
Total magnetization, Bohr magnetons per cell: 6.84
Density of states at the Fermi level, states/eV per atom: 0.79
Energy above the most stable polymorph in this dataset, meV/atom: 81.7
Calculated formation energy, meV/atom: 496

Cell: 2.9349 4.4114 9.7566 Å, 90.00 90.00 90.00°
Space group Cmmm (No. 65)
Symmetry-distinct sites (fractional):
Li 0.0000 0.0000 0.2378
Ta 0.0000 0.5000 0.5000
Mn 0.0000 0.5000 0.0000

[3]
Computed, not measured: a relaxed Li2TaMn crystal at the GGA-PBEsol level of DFT.

## Properties
Total magnetization, Bohr magnetons per cell: 0.00
Density of states at the Fermi level, states/eV per atom: 0.63
Energy above the most stable polymorph in this dataset, meV/atom: 264.6
Calculated formation energy, meV/atom: 679

Cell: 2.4929 2.4929 9.2114 Å, 90.00 90.00 90.00°
Space group P4/mmm (No. 123)
Symmetry-distinct sites (fractional):
Li 0.0000 0.0000 0.2276
Ta 0.5000 0.5000 0.5000
Mn 0.5000 0.5000 0.0000

[4]
Computed, not measured: a relaxed LiMnTc2 crystal at the GGA-PBEsol level of DFT.

## Properties
Total magnetization, Bohr magnetons per cell: 4.82
Density of states at the Fermi level, states/eV per atom: 0.86
Energy above the most stable polymorph in this dataset, meV/atom: 99.0
Calculated formation energy, meV/atom: 330

Cell: 8.7155 2.4973 4.8082 Å, 90.00 93.79 90.00°
Space group Cm (No. 8)
Symmetry-distinct sites (fractional):
Li 0.0000 0.0000 0.0000
Mn 0.2474 0.0000 0.7730
Tc 0.0128 0.5000 0.5028
Tc 0.2523 0.5000 0.2592

[5]
Computed, not measured: a relaxed LiMn2Tc crystal at the GGA-PBEsol level of DFT.

## Properties
Total magnetization, Bohr magnetons per cell: 0.00
Density of states at the Fermi level, states/eV per atom: 1.04
Calculated formation energy, meV/atom: 346

Cell: 2.8610 4.0060 7.8936 Å, 90.00 90.00 90.00°
Space group Immm (No. 71)
Symmetry-distinct sites (fractional):
Li 0.0000 0.0000 0.0000
Mn 0.0000 0.5000 0.2407
Tc 0.0000 0.0000 0.5000

[6]
Computed, not measured: a relaxed LiMn2Tc crystal at the GGA-PBEsol level of DFT.

## Properties
Total magnetization, Bohr magnetons per cell: 2.47
Density of states at the Fermi level, states/eV per atom: 0.93
Calculated formation energy, meV/atom: 364

Cell: 3.9488 3.9488 3.0000 Å, 90.00 90.00 90.00°
Space group P4/mmm (No. 123)
Symmetry-distinct sites (fractional):
Li 0.0000 0.0000 0.0000
Mn 0.0000 0.5000 0.5000
Tc 0.5000 0.5000 0.0000

[7]
Computed, not measured: a relaxed LiMnTc2 crystal at the GGA-PBEsol level of DFT.

## Properties
Total magnetization, Bohr magnetons per cell: 0.01
Density of states at the Fermi level, states/eV per atom: 1.16
Energy above the most stable polymorph in this dataset, meV/atom: 0.0
Calculated formation energy, meV/atom: 231

Cell: 2.6287 2.6287 26.5699 Å, 90.00 90.00 120.00°
Space group R-3m (No. 166, hexagonal axes)
Symmetry-distinct sites (fractional):
Li 0.0000 0.0000 0.0000
Mn 0.0000 0.0000 0.5000
Tc 0.0000 0.0000 0.2427

[8]
Computed, not measured: a relaxed LiMn2Tc crystal at the GGA-PBEsol level of DFT.

## Properties
Total magnetization, Bohr magnetons per cell: 0.00
Density of states at the Fermi level, states/eV per atom: 1.20
Calculated formation energy, meV/atom: 409

Cell: 2.4542 3.9295 4.7444 Å, 90.00 90.00 90.00°
Space group Pmmm (No. 47)
Symmetry-distinct sites (fractional):
Li 0.0000 0.0000 0.0000
Mn 0.5000 0.5000 0.2182
Tc 0.0000 0.0000 0.5000